{"formula": "BaIn2SnN", "functional": "GGA-PBE", "state": "optimized geometry", "cell": [[-0.150, 4.126, 2.689], [-0.891, -2.974, 4.514], [4.859, -0.314, 0.752]], "species": ["N", "In", "In", "Ba", "Sn"], "fractional_positions": [[0.000, 0.000, 0.000], [0.000, 0.000, 0.500], [0.500, 0.000, 0.000], [0.500, 0.500, 0.500], [0.000, 0.500, 0.000]], "sg": "P4/mmm (123)", "raw_formation_energy_ev_per_atom": 0.2907, "final_energy_ev_per_atom": -3.65, "volume_a3_per_atom": 26.60}